4
Lattice="4.416 0.000 0.000 2.208 3.824 0.000 2.208 1.275 11.399" Properties=species:S:1:pos:R:3 comment="Ba2NaRh (PBE, relaxed)" total_magnetization_mub_per_atom=0.00 n_ef_per_ev_cell=1.704 polymorph_energy_ev_per_fu=0.28 pbc="T T T"
Ba 6.624 3.824 3.994
Ba 2.208 1.275 7.405
Rh 4.416 2.549 5.699
Na 0.000 0.000 0.000